# 1
A plane-wave DFT calculation with PBE was carried out for a relaxed structure of HoZrP2.

Output
The formation energy from the elements is -1.332 eV per atom. The density of states at the Fermi level is 2.6 states/eV per cell. The value obtained for the relative energy among the computed polymorphs is 0.155 eV/atom. As for the total DFT energy (no corrections): -7.318 eV per atom.

Unit cell a=3.818 b=3.818 c=6.678 alpha=90.00 beta=90.00 gamma=120.00
Atoms (fractional coordinates):
Ho 0.000 0.500 0.500
Zr 0.000 0.500 0.000
P 0.667 0.833 0.764
P 0.333 0.167 0.236


# 2
A plane-wave DFT calculation with PBE was carried out for a relaxed structure of HoZrP2.

Output
The formation energy from the elements is -1.486 eV per atom. The density of states at the Fermi level is 1.4 states/eV per cell. The value obtained for the relative energy among the computed polymorphs is 0.000 eV/atom. As for the total DFT energy (no corrections): -7.473 eV per atom.

Unit cell a=3.834 b=3.834 c=6.733 alpha=73.46 beta=73.46 gamma=60.00
Atoms (fractional coordinates):
P 0.254 0.254 0.237
P 0.746 0.746 0.763
Ho 0.500 0.500 0.500
Zr 0.000 0.000 0.000


# 3
A plane-wave DFT calculation with PBE was carried out for a relaxed structure of HoPa6.

Output
The formation energy from the elements is 1.403 eV per atom. The density of states at the Fermi level is 22.5 states/eV per cell. As for the total DFT energy (no corrections): -7.390 eV per atom.

Unit cell a=6.619 b=6.619 c=6.619 alpha=109.47 beta=109.47 gamma=109.47
Atoms (fractional coordinates):
Ho 0.000 0.000 0.000
Pa 0.250 0.750 0.500
Pa 0.500 0.750 0.250
Pa 0.250 0.500 0.750
Pa 0.750 0.250 0.500
Pa 0.500 0.250 0.750
Pa 0.750 0.500 0.250


# 4
A plane-wave DFT calculation with PBE was carried out for a relaxed structure of HoPa2.

Output
The formation energy from the elements is 0.245 eV per atom. The density of states at the Fermi level is 6.5 states/eV per cell. The value obtained for the relative energy among the computed polymorphs is 0.013 eV/atom. As for the total DFT energy (no corrections): -7.612 eV per atom.

Unit cell a=3.600 b=3.600 c=6.717 alpha=105.54 beta=105.54 gamma=90.00
Atoms (fractional coordinates):
Pa 0.686 0.686 0.373
Pa 0.314 0.314 0.627
Ho 0.000 0.000 0.000


# 5
A plane-wave DFT calculation with PBE was carried out for a relaxed structure of Ho4Pa.

Output
The formation energy from the elements is 0.862 eV per atom. The density of states at the Fermi level is 10.9 states/eV per cell. As for the total DFT energy (no corrections): -4.700 eV per atom.

Unit cell a=5.601 b=5.601 c=5.601 alpha=90.00 beta=90.00 gamma=90.00
Atoms (fractional coordinates):
Pa 0.500 0.500 0.500
Ho 0.000 0.000 0.000
Ho 0.500 0.000 0.500
Ho 0.000 0.500 0.500
Ho 0.500 0.500 0.000


# 6
A plane-wave DFT calculation with PBE was carried out for a relaxed structure of HoPa2.

Output
The formation energy from the elements is 0.231 eV per atom. The density of states at the Fermi level is 16.9 states/eV per cell. The value obtained for the relative energy among the computed polymorphs is 0.000 eV/atom. As for the total DFT energy (no corrections): -7.625 eV per atom.

Unit cell a=6.142 b=6.142 c=6.142 alpha=60.00 beta=60.00 gamma=60.00
Atoms (fractional coordinates):
Pa 0.125 0.625 0.625
Pa 0.625 0.125 0.625
Pa 0.625 0.625 0.625
Pa 0.625 0.625 0.125
Ho 0.000 0.000 0.000
Ho 0.250 0.250 0.250